No. 1
Density functional theory data (PBE-GGA) for a relaxed Nb2FeCCl crystal.

abc: 4.6198 4.6198 3.9605
angles: 90.00 90.00 90.00
Closest atoms and distances in Å follow each position.
Sites, in units of the cell vectors:
Nb: 0.0000 0.5000 0.0000  2 Fe 2.31
Nb: 0.5000 0.0000 0.0000  2 Fe 2.31
Fe: 0.0000 0.0000 0.0000  2 Cl 1.98
C: 0.5000 0.5000 0.5000  8 Nb 3.04, 4 Cl 3.27
Cl: 0.0000 0.0000 0.5000  2 Fe 1.98

Results
Formation energy (no corrections) ... 1.7247 eV per atom
SG ... P4/mmm, No. 123
Mass density ... 5.68 g/cm3

No. 2
Density functional theory data (PBE-GGA) for a relaxed NbFeC2Cl crystal.

abc: 4.0362 4.0362 5.3961
angles: 90.00 90.00 90.00
Closest atoms and distances in Å follow each position.
Sites, in units of the cell vectors:
Nb: 0.0000 0.0000 0.0000  4 C 2.02
Fe: 0.0000 0.0000 0.5000  2 Nb 2.70, 4 Cl 2.85
C: 0.0000 0.5000 0.0000  2 Nb 2.02
C: 0.5000 0.0000 0.0000  2 Nb 2.02
Cl: 0.5000 0.5000 0.5000  4 Fe 2.85

Results
Formation energy (no corrections) ... 1.9816 eV per atom
SG ... P4/mmm, No. 123
Mass density ... 3.93 g/cm3

No. 3
Density functional theory data (PBE-GGA) for a relaxed FeOs2CCl crystal.

abc: 4.6172 4.6172 3.5128
angles: 90.00 90.00 90.00
Closest atoms and distances in Å follow each position.
Sites, in units of the cell vectors:
Fe: 0.0000 0.0000 0.0000  2 C 1.76
Os: 0.0000 0.5000 0.0000  2 Fe 2.31
Os: 0.5000 0.0000 0.0000  2 Fe 2.31
C: 0.0000 0.0000 0.5000  2 Fe 1.76
Cl: 0.5000 0.5000 0.5000  8 Os 2.90

Results
Formation energy (no corrections) ... 2.0707 eV per atom
SG ... P4/mmm, No. 123
Mass density ... 10.73 g/cm3